No. 1
# PBE LaNd3Ga3, optimized geometry
data_LaNd3Ga3
_chemical_formula_sum 'La2 Nd6 Ga6'
_cell_length_a 9.6277
_cell_length_b 9.6277
_cell_length_c 4.8635
_cell_angle_alpha 90.00
_cell_angle_beta 90.00
_cell_angle_gamma 120.00
_space_group_name_H-M_alt 'P 1'
_space_group_IT_number 1
loop_
_space_group_symop_operation_xyz
'x,y,z'
loop_
_atom_site_label
_atom_site_fract_x
_atom_site_fract_y
_atom_site_fract_z
La1 0.3333 0.6667 0.2500
La2 0.6667 0.3333 0.7500
Nd1 0.0239 0.7610 0.7500
Nd2 0.2390 0.2629 0.7500
Nd3 0.2629 0.0239 0.2500
Nd4 0.7371 0.9761 0.7500
Nd5 0.7610 0.7371 0.2500
Nd6 0.9761 0.2390 0.2500
Ga1 0.0570 0.4526 0.7500
Ga2 0.3956 0.9430 0.7500
Ga3 0.4526 0.3956 0.2500
Ga4 0.5474 0.6044 0.7500
Ga5 0.6044 0.0570 0.2500
Ga6 0.9430 0.5474 0.2500
# - Space-group type: No. 176
# - Energy: -4.46 eV/atom
# - Total magnetic moment: 0.00 μB/atom
# - Crystal system: hexagonal
# - Energy relative to the elements: -417 meV per atom

---

No. 2
# PBE KLi3GeO4, optimized geometry
data_KLi3GeO4
_chemical_formula_sum 'K4 Li12 Ge4 O16'
_cell_length_a 5.9286
_cell_length_b 7.5750
_cell_length_c 10.0491
_cell_angle_alpha 83.56
_cell_angle_beta 76.54
_cell_angle_gamma 79.76
_space_group_name_H-M_alt 'P 1'
_space_group_IT_number 1
loop_
_space_group_symop_operation_xyz
'x,y,z'
loop_
_atom_site_label
_atom_site_fract_x
_atom_site_fract_y
_atom_site_fract_z
K1 0.0039 0.3827 0.3836
K2 0.0417 0.1406 0.1280
K3 0.9583 0.8594 0.8720
K4 0.9961 0.6173 0.6164
Li1 0.1875 0.4495 0.8970
Li2 0.1934 0.9431 0.3955
Li3 0.1945 0.1754 0.6463
Li4 0.4299 0.0478 0.8756
Li5 0.4634 0.5727 0.3726
Li6 0.4773 0.3226 0.1140
Li7 0.5227 0.6774 0.8860
Li8 0.5366 0.4273 0.6274
Li9 0.5701 0.9522 0.1244
Li10 0.8055 0.8246 0.3537
Li11 0.8066 0.0569 0.6045
Li12 0.8125 0.5505 0.1030
Ge1 0.1658 0.7061 0.1483
Ge2 0.4417 0.7905 0.6343
Ge3 0.5583 0.2095 0.3657
Ge4 0.8342 0.2939 0.8517
O1 0.1384 0.2043 0.8500
O2 0.1789 0.7113 0.3236
O3 0.1899 0.9338 0.5933
O4 0.1936 0.4869 0.0904
O5 0.3459 0.6098 0.7565
O6 0.3623 0.8377 0.0350
O7 0.3822 0.3258 0.5084
O8 0.3953 0.1048 0.2776
O9 0.6047 0.8952 0.7224
O10 0.6178 0.6742 0.4916
O11 0.6377 0.1623 0.9650
O12 0.6541 0.3902 0.2435
O13 0.8064 0.5131 0.9096
O14 0.8101 0.0662 0.4067
O15 0.8211 0.2887 0.6764
O16 0.8616 0.7957 0.1500
# - Space-group type: No. 2
# - Energy: -5.40 eV/atom
# - Total magnetic moment: 0.00 μB/atom
# - Crystal system: triclinic

---

No. 3
# PBE Na4Tl3Pb2, optimized geometry
data_Na4Tl3Pb2
_chemical_formula_sum 'Na4 Tl3 Pb2'
_cell_length_a 3.5343
_cell_length_b 3.5343
_cell_length_c 25.6194
_cell_angle_alpha 90.00
_cell_angle_beta 90.00
_cell_angle_gamma 120.00
_space_group_name_H-M_alt 'P 1'
_space_group_IT_number 1
loop_
_space_group_symop_operation_xyz
'x,y,z'
loop_
_atom_site_label
_atom_site_fract_x
_atom_site_fract_y
_atom_site_fract_z
Na1 0.0000 0.0000 0.0000
Na2 0.0000 0.0000 0.2097
Na3 0.3333 0.6667 0.3293
Na4 0.3333 0.6667 0.5398
Tl1 0.0000 0.0000 0.4344
Tl2 0.3333 0.6667 0.1047
Tl3 0.3333 0.6667 0.7616
Pb1 0.0000 0.0000 0.6475
Pb2 0.0000 0.0000 0.8755
# - Space-group type: No. 156
# - Energy: -2.22 eV/atom
# - Total magnetic moment: 0.00 μB/atom
# - Crystal system: trigonal
# - Energy relative to the elements: -19 meV per atom

---

No. 4
# PBE Be3Rh2, optimized geometry
data_Be3Rh2
_chemical_formula_sum 'Be6 Rh4'
_cell_length_a 6.0798
_cell_length_b 4.5548
_cell_length_c 6.8433
_cell_angle_alpha 60.59
_cell_angle_beta 40.74
_cell_angle_gamma 78.67
_space_group_name_H-M_alt 'P 1'
_space_group_IT_number 1
loop_
_space_group_symop_operation_xyz
'x,y,z'
loop_
_atom_site_label
_atom_site_fract_x
_atom_site_fract_y
_atom_site_fract_z
Be1 0.0000 0.0000 0.0000
Be2 0.2500 0.2500 0.2500
Be3 0.4360 0.7929 0.3327
Be4 0.7929 0.4360 0.4384
Be5 0.8116 0.9173 0.4571
Be6 0.9173 0.8116 0.8140
Rh1 0.2432 0.5014 0.8638
Rh2 0.3862 0.8584 0.0068
Rh3 0.5014 0.2432 0.3916
Rh4 0.8584 0.3862 0.7486
# - Space-group type: No. 43
# - Energy: -5.70 eV/atom
# - Total magnetic moment: 0.00 μB/atom
# - Crystal system: orthorhombic
# - Energy relative to the elements: -525 meV per atom

---

No. 5
# PBE Er2Hf2Sc3, optimized geometry
data_Er2Hf2Sc3
_chemical_formula_sum 'Er2 Hf2 Sc3'
_cell_length_a 3.2739
_cell_length_b 7.4043
_cell_length_c 8.0062
_cell_angle_alpha 111.11
_cell_angle_beta 90.03
_cell_angle_gamma 102.68
_space_group_name_H-M_alt 'P 1'
_space_group_IT_number 1
loop_
_space_group_symop_operation_xyz
'x,y,z'
loop_
_atom_site_label
_atom_site_fract_x
_atom_site_fract_y
_atom_site_fract_z
Er1 0.0808 0.1587 0.2208
Er2 0.9192 0.8413 0.7792
Hf1 0.2129 0.4259 0.6353
Hf2 0.7871 0.5741 0.3647
Sc1 0.3502 0.7006 0.0765
Sc2 0.5000 0.0000 0.5000
Sc3 0.6498 0.2994 0.9235
# - Space-group type: No. 2
# - Energy: -6.77 eV/atom
# - Total magnetic moment: 0.00 μB/atom
# - Crystal system: triclinic
# - Energy relative to the elements: 89 meV per atom

---

No. 6
# PBE Rb8I3Br4Cl, optimized geometry
data_Rb8I3Br4Cl
_chemical_formula_sum 'Rb8 I3 Br4 Cl1'
_cell_length_a 10.1035
_cell_length_b 10.1035
_cell_length_c 10.1439
_cell_angle_alpha 119.83
_cell_angle_beta 119.83
_cell_angle_gamma 60.05
_space_group_name_H-M_alt 'P 1'
_space_group_IT_number 1
loop_
_space_group_symop_operation_xyz
'x,y,z'
loop_
_atom_site_label
_atom_site_fract_x
_atom_site_fract_y
_atom_site_fract_z
Rb1 0.2352 0.7532 0.7417
Rb2 0.2434 0.2434 0.7307
Rb3 0.2472 0.2472 0.2587
Rb4 0.2468 0.7648 0.2583
Rb5 0.7532 0.2352 0.7417
Rb6 0.7528 0.7528 0.7413
Rb7 0.7566 0.7566 0.2693
Rb8 0.7648 0.2468 0.2583
I1 0.0000 0.5000 0.0000
I2 0.5000 0.0000 0.0000
I3 0.5000 0.5000 0.0000
Br1 0.0000 0.0000 0.5000
Br2 0.0000 0.5000 0.5000
Br3 0.5000 0.0000 0.5000
Br4 0.5000 0.5000 0.5000
Cl1 0.0000 0.0000 0.0000
# - Space-group type: No. 12
# - Energy: -2.98 eV/atom
# - Total magnetic moment: 0.00 μB/atom
# - Crystal system: monoclinic

---

No. 7
# PBE Ce2NdTc, optimized geometry
data_Ce2NdTc
_chemical_formula_sum 'Ce2 Nd1 Tc1'
_cell_length_a 9.0571
_cell_length_b 9.0571
_cell_length_c 9.0571
_cell_angle_alpha 24.94
_cell_angle_beta 24.94
_cell_angle_gamma 24.94
_space_group_name_H-M_alt 'P 1'
_space_group_IT_number 1
loop_
_space_group_symop_operation_xyz
'x,y,z'
loop_
_atom_site_label
_atom_site_fract_x
_atom_site_fract_y
_atom_site_fract_z
Ce1 0.0000 0.0000 0.0000
Ce2 0.2160 0.2160 0.2160
Nd1 0.7736 0.7736 0.7736
Tc1 0.6108 0.6108 0.6108
# - Space-group type: No. 160
# - Energy: -6.63 eV/atom
# - Total magnetic moment: 0.00 μB/atom
# - Crystal system: trigonal
# - Energy relative to the elements: 119 meV per atom

---

No. 8
# PBE PuScTe3, optimized geometry
data_PuScTe3
_chemical_formula_sum 'Pu4 Sc4 Te12'
_cell_length_a 9.0946
_cell_length_b 4.2245
_cell_length_c 17.6505
_cell_angle_alpha 90.00
_cell_angle_beta 90.00
_cell_angle_gamma 90.00
_space_group_name_H-M_alt 'P 1'
_space_group_IT_number 1
loop_
_space_group_symop_operation_xyz
'x,y,z'
loop_
_atom_site_label
_atom_site_fract_x
_atom_site_fract_y
_atom_site_fract_z
Pu1 0.1267 0.2500 0.2454
Pu2 0.3733 0.7500 0.7454
Pu3 0.6267 0.2500 0.2546
Pu4 0.8733 0.7500 0.7546
Sc1 0.1269 0.2500 0.5814
Sc2 0.3731 0.7500 0.0814
Sc3 0.6269 0.2500 0.9186
Sc4 0.8731 0.7500 0.4186
Te1 0.1062 0.2500 0.4179
Te2 0.1237 0.2500 0.7546
Te3 0.1535 0.2500 0.0751
Te4 0.3465 0.7500 0.5751
Te5 0.3763 0.7500 0.2546
Te6 0.3938 0.7500 0.9179
Te7 0.6062 0.2500 0.0821
Te8 0.6237 0.2500 0.7454
Te9 0.6535 0.2500 0.4249
Te10 0.8465 0.7500 0.9249
Te11 0.8763 0.7500 0.2454
Te12 0.8938 0.7500 0.5821
# - Space-group type: No. 62
# - Energy: -7.08 eV/atom
# - Total magnetic moment: 1.00 μB/atom
# - Crystal system: orthorhombic

---

No. 9
# PBE MgScTa2, optimized geometry
data_MgScTa2
_chemical_formula_sum 'Mg1 Sc1 Ta2'
_cell_length_a 2.8562
_cell_length_b 2.8562
_cell_length_c 9.8546
_cell_angle_alpha 90.00
_cell_angle_beta 90.00
_cell_angle_gamma 102.60
_space_group_name_H-M_alt 'P 1'
_space_group_IT_number 1
loop_
_space_group_symop_operation_xyz
'x,y,z'
loop_
_atom_site_label
_atom_site_fract_x
_atom_site_fract_y
_atom_site_fract_z
Mg1 0.0000 0.0000 0.0000
Sc1 0.0000 0.0000 0.5000
Ta1 0.5000 0.5000 0.2516
Ta2 0.5000 0.5000 0.7484
# - Space-group type: No. 65
# - Energy: -7.65 eV/atom
# - Total magnetic moment: 0.00 μB/atom
# - Crystal system: orthorhombic
# - Energy relative to the elements: 259 meV per atom

---

No. 10
# PBE MoRhCl2, optimized geometry
data_MoRhCl2
_chemical_formula_sum 'Mo1 Rh1 Cl2'
_cell_length_a 3.5690
_cell_length_b 3.0355
_cell_length_c 7.8964
_cell_angle_alpha 90.00
_cell_angle_beta 102.63
_cell_angle_gamma 90.00
_space_group_name_H-M_alt 'P 1'
_space_group_IT_number 1
loop_
_space_group_symop_operation_xyz
'x,y,z'
loop_
_atom_site_label
_atom_site_fract_x
_atom_site_fract_y
_atom_site_fract_z
Mo1 0.0000 0.0000 0.0000
Rh1 0.4243 0.5000 0.8434
Cl1 0.1174 0.5000 0.2428
Cl2 0.8394 0.0000 0.6673
# - Space-group type: No. 6
# - Energy: -5.72 eV/atom
# - Total magnetic moment: 0.00 μB/atom
# - Crystal system: monoclinic

---

No. 11
# PBE RbBa3B2O6, optimized geometry
data_RbBa3B2O6
_chemical_formula_sum 'Rb1 Ba3 B2 O6'
_cell_length_a 5.6688
_cell_length_b 5.6688
_cell_length_c 8.7395
_cell_angle_alpha 90.00
_cell_angle_beta 90.00
_cell_angle_gamma 120.00
_space_group_name_H-M_alt 'P 1'
_space_group_IT_number 1
loop_
_space_group_symop_operation_xyz
'x,y,z'
loop_
_atom_site_label
_atom_site_fract_x
_atom_site_fract_y
_atom_site_fract_z
Rb1 0.0000 0.0000 0.0000
Ba1 0.0000 0.0000 0.5000
Ba2 0.3333 0.6667 0.2497
Ba3 0.6667 0.3333 0.7503
B1 0.3333 0.6667 0.7194
B2 0.6667 0.3333 0.2806
O1 0.1912 0.3824 0.7184
O2 0.1912 0.8088 0.7184
O3 0.3824 0.1912 0.2816
O4 0.6176 0.8088 0.7184
O5 0.8088 0.1912 0.2816
O6 0.8088 0.6176 0.2816
# - Space-group type: No. 164
# - Energy: -6.57 eV/atom
# - Total magnetic moment: 0.00 μB/atom
# - Crystal system: trigonal

---

No. 12
# PBE Zr3Tl5, optimized geometry
data_Zr3Tl5
_chemical_formula_sum 'Zr3 Tl5'
_cell_length_a 6.5390
_cell_length_b 6.5390
_cell_length_c 4.4476
_cell_angle_alpha 90.00
_cell_angle_beta 90.00
_cell_angle_gamma 90.81
_space_group_name_H-M_alt 'P 1'
_space_group_IT_number 1
loop_
_space_group_symop_operation_xyz
'x,y,z'
loop_
_atom_site_label
_atom_site_fract_x
_atom_site_fract_y
_atom_site_fract_z
Zr1 0.0000 0.0000 0.0000
Zr2 0.2610 0.2610 0.5000
Zr3 0.7390 0.7390 0.5000
Tl1 0.0000 0.5000 0.0000
Tl2 0.2318 0.7682 0.5000
Tl3 0.5000 0.0000 0.0000
Tl4 0.5000 0.5000 0.0000
Tl5 0.7682 0.2318 0.5000
# - Space-group type: No. 65
# - Energy: -4.66 eV/atom
# - Total magnetic moment: 0.00 μB/atom
# - Crystal system: orthorhombic
# - Energy relative to the elements: 27 meV per atom

---

No. 13
# PBE Li8SnHg2, optimized geometry
data_Li8SnHg2
_chemical_formula_sum 'Li8 Sn1 Hg2'
_cell_length_a 7.3957
_cell_length_b 7.3957
_cell_length_c 4.7262
_cell_angle_alpha 100.22
_cell_angle_beta 100.22
_cell_angle_gamma 117.25
_space_group_name_H-M_alt 'P 1'
_space_group_IT_number 1
loop_
_space_group_symop_operation_xyz
'x,y,z'
loop_
_atom_site_label
_atom_site_fract_x
_atom_site_fract_y
_atom_site_fract_z
Li1 0.0786 0.2982 0.6017
Li2 0.2183 0.7817 0.0000
Li3 0.2982 0.0786 0.6017
Li4 0.3794 0.3794 0.1767
Li5 0.6206 0.6206 0.8233
Li6 0.7018 0.9214 0.3983
Li7 0.7817 0.2183 0.0000
Li8 0.9214 0.7018 0.3983
Sn1 0.0000 0.0000 0.0000
Hg1 0.3169 0.6831 0.5000
Hg2 0.6831 0.3169 0.5000
# - Space-group type: No. 12
# - Energy: -2.07 eV/atom
# - Total magnetic moment: 0.00 μB/atom
# - Crystal system: monoclinic
# - Energy relative to the elements: -259 meV per atom

---

No. 14
# PBE SrTmAg, optimized geometry
data_SrTmAg
_chemical_formula_sum 'Sr2 Tm2 Ag2'
_cell_length_a 4.8779
_cell_length_b 4.8779
_cell_length_c 8.2008
_cell_angle_alpha 90.00
_cell_angle_beta 90.00
_cell_angle_gamma 90.00
_space_group_name_H-M_alt 'P 1'
_space_group_IT_number 1
loop_
_space_group_symop_operation_xyz
'x,y,z'
loop_
_atom_site_label
_atom_site_fract_x
_atom_site_fract_y
_atom_site_fract_z
Sr1 0.2500 0.2500 0.1398
Sr2 0.7500 0.7500 0.8602
Tm1 0.2500 0.7500 0.5000
Tm2 0.7500 0.2500 0.5000
Ag1 0.2500 0.2500 0.7176
Ag2 0.7500 0.7500 0.2824
# - Space-group type: No. 129
# - Energy: -3.15 eV/atom
# - Total magnetic moment: 0.00 μB/atom
# - Crystal system: tetragonal
# - Energy relative to the elements: -152 meV per atom

---

No. 15
# PBE Cs3K4Bi4, optimized geometry
data_Cs3K4Bi4
_chemical_formula_sum 'Cs3 K4 Bi4'
_cell_length_a 11.4867
_cell_length_b 11.4867
_cell_length_c 11.4867
_cell_angle_alpha 148.85
_cell_angle_beta 132.98
_cell_angle_gamma 57.48
_space_group_name_H-M_alt 'P 1'
_space_group_IT_number 1
loop_
_space_group_symop_operation_xyz
'x,y,z'
loop_
_atom_site_label
_atom_site_fract_x
_atom_site_fract_y
_atom_site_fract_z
Cs1 0.0000 0.0000 0.0000
Cs2 0.3779 0.8779 0.5000
Cs3 0.6221 0.1221 0.5000
K1 0.0361 0.3245 0.7117
K2 0.3872 0.6755 0.7117
K3 0.6128 0.3245 0.2883
K4 0.9639 0.6755 0.2883
Bi1 0.2010 0.2010 0.0000
Bi2 0.3416 0.5000 0.8416
Bi3 0.6584 0.5000 0.1584
Bi4 0.7990 0.7990 0.0000
# - Space-group type: No. 71
# - Energy: -2.34 eV/atom
# - Total magnetic moment: 0.29 μB/atom
# - Crystal system: orthorhombic
# - Energy relative to the elements: -296 meV per atom

---

No. 16
# PBE TlV2Te2, optimized geometry
data_TlV2Te2
_chemical_formula_sum 'Tl1 V2 Te2'
_cell_length_a 5.6496
_cell_length_b 5.6496
_cell_length_c 5.6496
_cell_angle_alpha 124.02
_cell_angle_beta 124.02
_cell_angle_gamma 83.17
_space_group_name_H-M_alt 'P 1'
_space_group_IT_number 1
loop_
_space_group_symop_operation_xyz
'x,y,z'
loop_
_atom_site_label
_atom_site_fract_x
_atom_site_fract_y
_atom_site_fract_z
Tl1 0.0000 0.0000 0.0000
V1 0.3855 0.3855 0.0000
V2 0.6145 0.6145 0.0000
Te1 0.2500 0.7500 0.5000
Te2 0.7500 0.2500 0.5000
# - Space-group type: No. 139
# - Energy: -5.30 eV/atom
# - Total magnetic moment: 0.19 μB/atom
# - Crystal system: tetragonal

---

No. 17
# PBE Tb2Pm3Y6In, optimized geometry
data_Tb2Pm3Y6In
_chemical_formula_sum 'Tb2 Pm3 Y6 In1'
_cell_length_a 6.1614
_cell_length_b 6.1614
_cell_length_c 11.7311
_cell_angle_alpha 95.04
_cell_angle_beta 95.04
_cell_angle_gamma 120.02
_space_group_name_H-M_alt 'P 1'
_space_group_IT_number 1
loop_
_space_group_symop_operation_xyz
'x,y,z'
loop_
_atom_site_label
_atom_site_fract_x
_atom_site_fract_y
_atom_site_fract_z
Tb1 0.1662 0.8338 0.0000
Tb2 0.8338 0.1662 0.0000
Pm1 0.0000 0.0000 0.5000
Pm2 0.3332 0.6668 0.5000
Pm3 0.6668 0.3332 0.5000
Y1 0.0922 0.4193 0.7562
Y2 0.2538 0.2538 0.2448
Y3 0.4193 0.0922 0.7562
Y4 0.5807 0.9078 0.2438
Y5 0.7462 0.7462 0.7552
Y6 0.9078 0.5807 0.2438
In1 0.5000 0.5000 0.0000
# - Space-group type: No. 12
# - Energy: -5.46 eV/atom
# - Total magnetic moment: 0.00 μB/atom
# - Crystal system: monoclinic
# - Energy relative to the elements: -45 meV per atom

---

No. 18
# PBE Li4Cd4Ga3, optimized geometry
data_Li4Cd4Ga3
_chemical_formula_sum 'Li4 Cd4 Ga3'
_cell_length_a 8.8100
_cell_length_b 8.8100
_cell_length_c 8.8100
_cell_angle_alpha 149.45
_cell_angle_beta 139.35
_cell_angle_gamma 51.69
_space_group_name_H-M_alt 'P 1'
_space_group_IT_number 1
loop_
_space_group_symop_operation_xyz
'x,y,z'
loop_
_atom_site_label
_atom_site_fract_x
_atom_site_fract_y
_atom_site_fract_z
Li1 0.0649 0.8243 0.2406
Li2 0.4162 0.1757 0.2406
Li3 0.5838 0.8243 0.7594
Li4 0.9351 0.1757 0.7594
Cd1 0.2297 0.0000 0.2297
Cd2 0.3242 0.3242 0.0000
Cd3 0.6758 0.6758 0.0000
Cd4 0.7703 0.0000 0.7703
Ga1 0.1768 0.6768 0.5000
Ga2 0.5000 0.5000 0.0000
Ga3 0.8232 0.3232 0.5000
# - Space-group type: No. 71
# - Energy: -1.88 eV/atom
# - Total magnetic moment: 0.00 μB/atom
# - Crystal system: orthorhombic
# - Energy relative to the elements: -29 meV per atom